No. 1
{"formula": "LiTePt2", "functional": "PBE", "state": "optimized geometry", "e_tot_ev_per_atom": -4.333, "sg": "R-3m", "crystal_system": "trigonal", "lattice": [[9.1928, 0.0235, 0.0138], [8.6998, 2.9702, 0.0138], [8.6998, 1.4556, 2.5891]], "species": ["Li", "Pt", "Pt", "Te"], "fractional_positions": [[0.7500, 0.7500, 0.7500], [0.4941, 0.4941, 0.4941], [0.0059, 0.0059, 0.0059], [0.2500, 0.2500, 0.2500]]}

=====

No. 2
{"formula": "LiTa4Sb", "functional": "PBE", "state": "optimized geometry", "e_tot_ev_per_atom": -8.372, "sg": "F-43m", "crystal_system": "cubic", "lattice": [[-1.7509, -5.0470, -1.4932], [-4.1152, -0.5314, -3.6811], [1.0676, -1.9106, -5.0968]], "species": ["Ta", "Ta", "Ta", "Ta", "Sb", "Li"], "fractional_positions": [[0.3769, 0.8693, 0.3769], [0.3769, 0.3769, 0.8693], [0.8693, 0.3769, 0.3769], [0.3769, 0.3769, 0.3769], [0.0000, 0.0000, 0.0000], [0.7500, 0.7500, 0.7500]]}

=====

No. 3
{"formula": "Li3Ac2DySn4", "functional": "PBE", "state": "optimized geometry", "e_tot_ev_per_atom": -4.063, "formation_enthalpy_0k_kcal_per_mol_atoms": -13.98, "sg": "P-4m2", "crystal_system": "tetragonal", "lattice": [[-0.3329, 1.8090, -4.3520], [-2.2486, -3.8952, -1.4471], [-10.6331, 5.0554, 2.9148]], "species": ["Sn", "Sn", "Sn", "Sn", "Ac", "Ac", "Li", "Li", "Li", "Dy"], "fractional_positions": [[0.5000, 0.0000, 0.6546], [0.5000, 0.5000, 0.0000], [0.0000, 0.0000, 0.0000], [0.0000, 0.5000, 0.3454], [0.5000, 0.0000, 0.2283], [0.0000, 0.5000, 0.7717], [0.5000, 0.0000, 0.8768], [0.0000, 0.0000, 0.5000], [0.0000, 0.5000, 0.1232], [0.5000, 0.5000, 0.5000]]}

=====

No. 4
{"formula": "TcMo", "functional": "PBE", "state": "optimized geometry", "e_above_lowest_polymorph_mev_per_atom": 0.7, "e_tot_ev_per_atom": -10.522, "formation_enthalpy_0k_kcal_per_mol_atoms": 1.76, "sg": "Cmmm", "crystal_system": "orthorhombic", "lattice": [[-2.8532, 0.8864, 3.2302], [-5.9481, -11.7915, -2.0180], [1.9248, -1.3241, 2.0635]], "species": ["Mo", "Mo", "Mo", "Mo", "Mo", "Mo", "Tc", "Tc", "Tc", "Tc", "Tc", "Tc"], "fractional_positions": [[0.5000, 0.0000, 0.0000], [0.5000, 0.8392, 0.5000], [0.0000, 0.5000, 0.0000], [0.0000, 0.3392, 0.5000], [0.0000, 0.6608, 0.5000], [0.5000, 0.1608, 0.5000], [0.5000, 0.3273, 0.0000], [0.5000, 0.6727, 0.0000], [0.0000, 0.0000, 0.5000], [0.0000, 0.8273, 0.0000], [0.5000, 0.5000, 0.5000], [0.0000, 0.1727, 0.0000]]}

=====

No. 5
{"formula": "Al2ZnRu", "functional": "PBE", "state": "optimized geometry", "e_tot_ev_per_atom": -4.496, "formation_enthalpy_0k_kcal_per_mol_atoms": 0.30, "sg": "Cmm2", "crystal_system": "orthorhombic", "lattice": [[2.8079, -0.0773, 0.0000], [-1.1768, 2.5506, 0.0000], [0.0000, 0.0000, 8.6882]], "species": ["Zn", "Al", "Al", "Ru"], "fractional_positions": [[0.5000, 0.5000, 0.7380], [0.5000, 0.5000, 0.2682], [0.0000, 0.0000, 0.0005], [0.0000, 0.0000, 0.4932]]}

=====

No. 6
{"formula": "RbAs3Cl", "functional": "PBE", "state": "optimized geometry", "e_above_lowest_polymorph_mev_per_atom": 0.0, "e_tot_ev_per_atom": -2.682, "sg": "Pm-3m", "crystal_system": "cubic", "lattice": [[-2.9519, 1.2714, -4.0924], [-4.1706, 0.2901, 3.0984], [0.9852, 5.0376, 0.8545]], "species": ["Cl", "Rb", "As", "As", "As"], "fractional_positions": [[0.0000, 0.0000, 0.0000], [0.5000, 0.5000, 0.5000], [0.0000, 0.0000, 0.5000], [0.0000, 0.5000, 0.0000], [0.5000, 0.0000, 0.0000]]}